[1]
# YC2F, PBEsol geometry, DFT meta-GGA SCAN
# Formation energy from raw total energies   -0.5 eV per formula unit
data_YC2F
_space_group_name_H-M_alt 'I 41/a m d'
_space_group_IT_number 141
_cell_length_a 3.014
_cell_length_b 3.014
_cell_length_c 19.317
_cell_angle_alpha 90.00
_cell_angle_beta 90.00
_cell_angle_gamma 90.00
loop_
_space_group_symop_operation_xyz
'x,y,z'
'-x,-y,-z'
'-y+1/4,x+3/4,z+1/4'
'y+1/4,-x+3/4,-z+1/4'
'-x+1/2,-y,z+1/2'
'x+1/2,y,-z+1/2'
'y+1/4,-x+1/4,z+3/4'
'-y+1/4,x+1/4,-z+3/4'
'x,-y,-z'
'-x,y,z'
'-y+1/4,-x+1/4,-z+3/4'
'y+1/4,x+1/4,z+3/4'
'-x+1/2,y,-z+1/2'
'x+1/2,-y,z+1/2'
'y+1/4,x+3/4,-z+1/4'
'-y+1/4,-x+3/4,z+1/4'
'x+1/2,y+1/2,z+1/2'
'-x+1/2,-y+1/2,-z+1/2'
'-y+3/4,x+1/4,z+3/4'
'y+3/4,-x+1/4,-z+3/4'
'-x,-y+1/2,z'
'x,y+1/2,-z'
'y+3/4,-x+3/4,z+1/4'
'-y+3/4,x+3/4,-z+1/4'
'x+1/2,-y+1/2,-z+1/2'
'-x+1/2,y+1/2,z+1/2'
'-y+3/4,-x+3/4,-z+1/4'
'y+3/4,x+3/4,z+1/4'
'-x,y+1/2,-z'
'x,-y+1/2,z'
'y+3/4,x+1/4,-z+3/4'
'-y+3/4,-x+1/4,z+3/4'
loop_
_atom_site_label
_atom_site_type_symbol
_atom_site_fract_x
_atom_site_fract_y
_atom_site_fract_z
_atom_site_occupancy
Y1 Y 0.000 0.250 0.375 1
C1 C 0.000 0.000 0.000 1
F1 F 0.000 0.250 0.875 1

[2]
# ZrAlSi2, PBEsol geometry, DFT meta-GGA SCAN
# Formation energy from raw total energies   -1.0 eV per formula unit
data_ZrAlSi2
_space_group_name_H-M_alt 'P 4/m m m'
_space_group_IT_number 123
_space_group_name_Hall '-P 4 2'
_cell_length_a 4.073
_cell_length_b 4.073
_cell_length_c 3.818
_cell_angle_alpha 90.00
_cell_angle_beta 90.00
_cell_angle_gamma 90.00
loop_
_atom_site_label
_atom_site_type_symbol
_atom_site_fract_x
_atom_site_fract_y
_atom_site_fract_z
_atom_site_occupancy
Zr1 Zr 0.000 0.000 0.000 1
Al1 Al 0.500 0.500 0.000 1
Si1 Si 0.000 0.500 0.500 1

[3]
# NaCaScZnSi4O12, PBEsol geometry, DFT meta-GGA SCAN
# Formation energy from raw total energies   -60.8 eV per formula unit
data_NaCaScZnSi4O12
_space_group_name_H-M_alt 'P 1 2/c 1'
_space_group_IT_number 13
_space_group_name_Hall '-P 2yc'
_cell_length_a 5.306
_cell_length_b 8.968
_cell_length_c 9.802
_cell_angle_alpha 90.00
_cell_angle_beta 105.22
_cell_angle_gamma 90.00
loop_
_atom_site_label
_atom_site_type_symbol
_atom_site_fract_x
_atom_site_fract_y
_atom_site_fract_z
_atom_site_occupancy
Na1 Na 0.000 0.053 0.250 1
Ca1 Ca 0.500 0.450 0.250 1
Sc1 Sc 0.500 0.149 0.750 1
Zn1 Zn 0.000 0.346 0.750 1
Si1 Si 0.198 0.343 0.460 1
Si2 Si 0.300 0.161 0.037 1
O1 O 0.098 0.269 0.100 1
O2 O 0.212 0.498 0.888 1
O3 O 0.223 0.166 0.866 1
O4 O 0.284 0.337 0.632 1
O5 O 0.297 0.000 0.109 1
O6 O 0.408 0.240 0.398 1

[4]
# RhC2, PBEsol geometry, DFT meta-GGA SCAN
# Relative energy among the computed polymorphs   0 meV/atom
# ΔE_f   0.465 eV per atom
data_RhC2
_space_group_name_H-M_alt 'P 63/m m c'
_space_group_IT_number 194
_space_group_name_Hall '-P 6c 2c'
_cell_length_a 2.5501
_cell_length_b 2.5501
_cell_length_c 9.3895
_cell_angle_alpha 90.00
_cell_angle_beta 90.00
_cell_angle_gamma 120.00
loop_
_atom_site_label
_atom_site_type_symbol
_atom_site_fract_x
_atom_site_fract_y
_atom_site_fract_z
_atom_site_occupancy
Rh1 Rh 0.3333 0.6667 0.2500 1
C1 C 0.3333 0.6667 0.0118 1

[5]
# CdTe2Se, PBEsol geometry, DFT meta-GGA SCAN
# Formation energy from raw total energies   0.2 eV per formula unit
data_CdTe2Se
_space_group_name_H-M_alt 'I m m 2'
_space_group_IT_number 44
_space_group_name_Hall 'I 2 -2'
_cell_length_a 3.946
_cell_length_b 3.992
_cell_length_c 13.542
_cell_angle_alpha 90.00
_cell_angle_beta 90.00
_cell_angle_gamma 90.00
loop_
_atom_site_label
_atom_site_type_symbol
_atom_site_fract_x
_atom_site_fract_y
_atom_site_fract_z
_atom_site_occupancy
Cd1 Cd 0.000 0.000 0.000 1
Te1 Te 0.000 0.000 0.428 1
Te2 Te 0.000 0.500 0.233 1
Se1 Se 0.000 0.500 0.673 1

[6]
# AlHg2As, PBEsol geometry, DFT meta-GGA SCAN
# Relative energy among the computed polymorphs   0 meV/atom
# ΔE_f   0.194 eV per atom
data_AlHg2As
_space_group_name_H-M_alt 'I -4 2 d'
_space_group_IT_number 122
_space_group_name_Hall 'I -4 2bw'
_cell_length_a 7.748
_cell_length_b 7.748
_cell_length_c 5.629
_cell_angle_alpha 90.00
_cell_angle_beta 90.00
_cell_angle_gamma 90.00
loop_
_atom_site_label
_atom_site_type_symbol
_atom_site_fract_x
_atom_site_fract_y
_atom_site_fract_z
_atom_site_occupancy
Al1 Al 0.000 0.000 0.000 1
Hg1 Hg 0.249 0.750 0.125 1
As1 As 0.000 0.000 0.500 1

[7]
# TiFe3Se, PBEsol geometry, DFT meta-GGA SCAN
# Relative energy among the computed polymorphs   0 meV/atom
# Formation energy from raw total energies   2.9 eV per formula unit
data_TiFe3Se
_space_group_name_H-M_alt 'P m -3 m'
_space_group_IT_number 221
_space_group_name_Hall '-P 4 2 3'
_cell_length_a 4.258
_cell_length_b 4.258
_cell_length_c 4.258
_cell_angle_alpha 90.00
_cell_angle_beta 90.00
_cell_angle_gamma 90.00
loop_
_atom_site_label
_atom_site_type_symbol
_atom_site_fract_x
_atom_site_fract_y
_atom_site_fract_z
_atom_site_occupancy
Ti1 Ti 0.000 0.000 0.000 1
Fe1 Fe 0.000 0.500 0.500 1
Se1 Se 0.500 0.500 0.500 1

[8]
# Ta2BePt, PBEsol geometry, DFT meta-GGA SCAN
# ΔE_f   0.300 eV per atom
data_Ta2BePt
_space_group_name_H-M_alt 'I -4 2 d'
_space_group_IT_number 122
_space_group_name_Hall 'I -4 2bw'
_cell_length_a 3.748
_cell_length_b 3.748
_cell_length_c 18.479
_cell_angle_alpha 90.00
_cell_angle_beta 90.00
_cell_angle_gamma 90.00
loop_
_atom_site_label
_atom_site_type_symbol
_atom_site_fract_x
_atom_site_fract_y
_atom_site_fract_z
_atom_site_occupancy
Ta1 Ta 0.241 0.250 0.125 1
Be1 Be 0.000 0.000 0.000 1
Pt1 Pt 0.000 0.000 0.500 1

Values for total DFT energy (no corrections), eV for the cell shown, ordered as above
-208.22 -59.48 -434.52 -105.15 -249.59 -654.00 -87.58 -826.06
Values for magnetization, μB per formula unit, ordered as above
0.00 0.00 0.00 0.00 0.00 0.00 4.68 0.00